Mo3Pb: optimized geometry, PBE.

Fermi-level density of states: 1.034 states/eV per atom
Spin magnetization: 0.00 μB/f.u.
VASP energy: -8.37 eV per atom

a b c (Å): 5.395 5.395 5.395
angles (deg): 116.85 116.85 116.85
Positions (direct):
Mo 0.000 0.500 0.500
Mo 0.500 0.000 0.500
Mo 0.500 0.500 0.000
Pb 0.000 0.000 0.000